[1]
A plane-wave DFT calculation with PBE was carried out for a relaxed structure of TbAl4Ni.

It has space group P2_1/m (No. 11), with a = 4.069 Å, b = 6.646 Å, c = 7.983 Å, α = 90.00°, β = 104.86° and γ = 90.00°. The asymmetric unit holds Tb at (0.117, 0.250, 0.235), Al at (0.076, 0.750, 0.153), Al at (0.311, 0.053, 0.622), Al at (0.500, 0.000, 0.000) and Ni at (0.227, 0.750, 0.454).

As for the total energy: -4.79 eV/atom. For the energy of formation, the calculation gives -0.5569 eV per atom.

=====

[2]
A plane-wave DFT calculation with PBE was carried out for a relaxed structure of Tl12PbSe7.

It has space group R-3 (No. 148, hexagonal axes), with a = 15.7739 Å, b = 15.7739 Å, c = 10.0778 Å, α = 90.00°, β = 90.00° and γ = 120.00°. The asymmetric unit holds Tl at (0.0270, 0.4055, 0.1362), Tl at (0.0772, 0.8920, 0.8427), Pb at (0.0000, 0.0000, 0.5000), Se at (0.0000, 0.0000, 0.0000) and Se at (0.0797, 0.8949, 0.3244).

For the formation energy from raw total energies, the calculation gives -0.328 eV per atom. As for the total energy: -3.15 eV/atom.